No. 1
A plane-wave DFT calculation with PBE was carried out for LaCu3Se after structural relaxation.

Cell: 4.725 4.725 4.725 Å, 90.00 90.00 90.00°
Space group Pm-3m (No. 221)
Asymmetric unit:
1 La 0.000 0.000 0.000 x1
2 Cu 0.000 0.500 0.500 x3
3 Se 0.500 0.500 0.500 x1

Calculated values
- spin magnetization (μB/cell) = 0.0
- electronic total energy (eV per atom) = -3.982
- N(E_F) (states/eV/atom) = 0.64

---

No. 2
A plane-wave DFT calculation with PBE was carried out for La2Cu2Se after structural relaxation.

Cell: 7.797 7.797 3.885 Å, 90.00 90.00 90.00°
Space group P4/mbm (No. 127)
Asymmetric unit:
1 La 0.184 0.316 0.000 x4
2 Cu 0.110 0.610 0.500 x4
3 Se 0.000 0.000 0.500 x2

Calculated values
- spin magnetization (μB/cell) = 0.0
- electronic total energy (eV per atom) = -4.873
- N(E_F) (states/eV/atom) = 0.64

---

No. 3
A plane-wave DFT calculation with PBE was carried out for La2Cu2Se after structural relaxation.

Cell: 3.655 3.655 17.336 Å, 90.00 90.00 90.00°
Space group I4/mmm (No. 139)
Asymmetric unit:
1 La 0.000 0.000 0.108 x4
2 Cu 0.000 0.500 0.250 x4
3 Se 0.000 0.000 0.500 x2

Calculated values
- spin magnetization (μB/cell) = 0.0
- electronic total energy (eV per atom) = -4.925
- N(E_F) (states/eV/atom) = 1.12

---

No. 4
A plane-wave DFT calculation with PBE was carried out for La3CuSiSe7 after structural relaxation.

Cell: 10.7918 10.7918 6.1509 Å, 90.00 90.00 120.00°
Space group P6_3 (No. 173)
Asymmetric unit:
1 La 0.1266 0.3554 0.0000 x6
2 Cu 0.0000 0.0000 0.4724 x2
3 Si 0.3333 0.6667 0.5880 x2
4 Se 0.0893 0.2522 0.4849 x6
5 Se 0.1084 0.5852 0.7331 x6
6 Se 0.3333 0.6667 0.2188 x2

Calculated values
- spin magnetization (μB/cell) = 0.0
- electronic total energy (eV per atom) = -5.528

---

No. 5
A plane-wave DFT calculation with PBE was carried out for La2CuSnSe5 after structural relaxation.

Cell: 4.129 17.735 12.398 Å, 90.00 90.00 90.00°
Space group Cmc2_1 (No. 36)
Asymmetric unit:
1 La 0.000 0.116 0.000 x4
2 La 0.000 0.118 0.621 x4
3 Cu 0.000 0.496 0.300 x4
4 Sn 0.000 0.188 0.315 x4
5 Se 0.000 0.038 0.381 x4
6 Se 0.000 0.293 0.977 x4
7 Se 0.000 0.297 0.647 x4
8 Se 0.000 0.353 0.313 x4
9 Se 0.000 0.493 0.606 x4

Calculated values
- spin magnetization (μB/cell) = 0.0
- electronic total energy (eV per atom) = -5.180
- N(E_F) (states/eV/atom) = 0.41

---

No. 6
A plane-wave DFT calculation with PBE was carried out for La3CuSnSe7 after structural relaxation.

Cell: 10.8083 10.8083 6.3681 Å, 90.00 90.00 120.00°
Space group P6_3 (No. 173)
Asymmetric unit:
1 La 0.1344 0.7795 0.0000 x6
2 Cu 0.0000 0.0000 0.0363 x2
3 Sn 0.3333 0.6667 0.4197 x2
4 Se 0.0863 0.5135 0.2501 x6
5 Se 0.0974 0.8440 0.5247 x6
6 Se 0.3333 0.6667 0.8161 x2

Calculated values
- spin magnetization (μB/cell) = 0.0
- electronic total energy (eV per atom) = -5.363

---

No. 7
A plane-wave DFT calculation with PBE was carried out for LaCuSnSe3 after structural relaxation.

Cell: 8.899 4.068 8.950 Å, 90.00 97.58 90.00°
Space group P2_1/m (No. 11)
Asymmetric unit:
1 La 0.151 0.250 0.225 x2
2 Cu 0.074 0.250 0.575 x2
3 Sn 0.353 0.750 0.835 x2
4 Se 0.106 0.250 0.861 x2
5 Se 0.207 0.750 0.486 x2
6 Se 0.391 0.750 0.152 x2

Calculated values
- spin magnetization (μB/cell) = 0.0
- electronic total energy (eV per atom) = -4.929

---

No. 8
A plane-wave DFT calculation with PBE was carried out for SrLaCuSe3 after structural relaxation.

Cell: 8.883 4.195 9.154 Å, 90.00 101.22 90.00°
Space group P2_1/m (No. 11)
Asymmetric unit:
1 Sr 0.174 0.250 0.231 x2
2 La 0.331 0.750 0.823 x2
3 Cu 0.080 0.250 0.581 x2
4 Se 0.100 0.250 0.859 x2
5 Se 0.207 0.750 0.500 x2
6 Se 0.423 0.750 0.165 x2

Calculated values
- spin magnetization (μB/cell) = 0.0
- electronic total energy (eV per atom) = -5.104